# 1
VASP calculation (SCAN) on a PBEsol-optimized structure of Li2ZrCd.

The structure in CIF format:
```
data_Li2ZrCd
_space_group_name_H-M_alt 'C 1 2/m 1'
_space_group_IT_number 12
_cell_length_a 9.8165
_cell_length_b 2.7879
_cell_length_c 5.5605
_cell_angle_alpha 90.00
_cell_angle_beta 95.01
_cell_angle_gamma 90.00
loop_
_space_group_symop_operation_xyz
'x,y,z'
'-x,-y,-z'
'-x,y,-z'
'x,-y,z'
'x+1/2,y+1/2,z'
'-x+1/2,-y+1/2,-z'
'-x+1/2,y+1/2,-z'
'x+1/2,-y+1/2,z'
loop_
_atom_site_label
_atom_site_type_symbol
_atom_site_fract_x
_atom_site_fract_y
_atom_site_fract_z
Li1 Li 0.2446 0.0000 0.2345
Zr1 Zr 0.0000 0.0000 0.5000
Cd1 Cd 0.0000 0.5000 0.0000
```

Values from the calculation:
**Density**: 4.77 g cm⁻³
**Total energy**: -131.86 eV for the cell shown

# 2
VASP calculation (SCAN) on a PBEsol-optimized structure of Li2ZrCd.

The structure in CIF format:
```
data_Li2ZrCd
_space_group_name_H-M_alt 'P 4/m m m'
_space_group_IT_number 123
_space_group_name_Hall '-P 4 2'
_cell_length_a 2.9020
_cell_length_b 2.9020
_cell_length_c 8.8970
_cell_angle_alpha 90.00
_cell_angle_beta 90.00
_cell_angle_gamma 90.00
loop_
_atom_site_label
_atom_site_type_symbol
_atom_site_fract_x
_atom_site_fract_y
_atom_site_fract_z
Li1 Li 0.0000 0.0000 0.2275
Zr1 Zr 0.5000 0.5000 0.5000
Cd1 Cd 0.5000 0.5000 0.0000
```

Values from the calculation:
**Density**: 4.82 g cm⁻³
**Total energy**: -65.68 eV for the cell shown